A geometry-optimized HoTm4Mg structure, computed with PBE.

```
data_HoTm4Mg
_cell_length_a 3.499
_cell_length_b 3.499
_cell_length_c 14.293
_cell_angle_alpha 90.00
_cell_angle_beta 90.00
_cell_angle_gamma 90.00
_symmetry_space_group_name_H-M 'P 4/m m m'
_symmetry_Int_Tables_number 123
_symmetry_space_group_name_Hall '-P 4 2'
loop_
_atom_site_label
_atom_site_fract_x
_atom_site_fract_y
_atom_site_fract_z
Ho1 0.000 0.000 0.000
Tm1 0.000 0.000 0.343
Tm2 0.500 0.500 0.174
Mg1 0.500 0.500 0.500
```

* size of the total moment: 0.00 μB per formula unit
* energy above the lowest structure with this stoichiometry: 0.000 eV/atom
* formation enthalpy at 0 K: -0.006 eV/atom
* crystal system: tetragonal

A geometry-optimized LaUSi structure, computed with PBE.

```
data_LaUSi
_cell_length_a 4.4287
_cell_length_b 4.4287
_cell_length_c 4.0149
_cell_angle_alpha 90.00
_cell_angle_beta 90.00
_cell_angle_gamma 120.00
_symmetry_space_group_name_H-M 'P 3 m 1'
_symmetry_Int_Tables_number 156
loop_
_symmetry_equiv_pos_as_xyz
'x,y,z'
'-y,x-y,z'
'-x+y,-x,z'
'-y,-x,z'
'-x+y,y,z'
'x,x-y,z'
loop_
_atom_site_label
_atom_site_fract_x
_atom_site_fract_y
_atom_site_fract_z
La1 0.0000 0.0000 0.0000
U1 0.3333 0.6667 0.3363
Si1 0.6667 0.3333 0.6342
```

* size of the total moment: 0.00 μB per formula unit
* energy above the lowest structure with this stoichiometry: 0.000 eV/atom
* crystal system: trigonal
* uncorrected formation energy: 0.1991 eV per atom

A geometry-optimized SrAgHg structure, computed with PBE.

```
data_SrAgHg
_cell_length_a 6.549
_cell_length_b 6.366
_cell_length_c 8.780
_cell_angle_alpha 90.00
_cell_angle_beta 112.43
_cell_angle_gamma 90.00
_symmetry_space_group_name_H-M 'P 1 21/c 1'
_symmetry_Int_Tables_number 14
loop_
_symmetry_equiv_pos_as_xyz
'x,y,z'
'-x,-y,-z'
'-x,y+1/2,-z+1/2'
'x,-y+1/2,z+1/2'
loop_
_atom_site_label
_atom_site_fract_x
_atom_site_fract_y
_atom_site_fract_z
Sr1 0.207 0.141 0.377
Ag1 0.407 0.590 0.285
Hg1 0.195 0.642 0.517
```

* size of the total moment: 0.00 μB per formula unit
* formation enthalpy at 0 K: -0.362 eV/atom
* crystal system: monoclinic

| no. | energy (eV per formula unit) |
| --- | --- |
| 1 | -24.10 |
| 2 | -21.04 |
| 3 | -5.92 |